# 1
{
  "formula": "In5Hg12Br3",
  "functional": "GGA-PBE",
  "state": "relaxed",
  "n_ef_per_ev_cell": 49.3,
  "crystal_system": "cubic",
  "spacegroup": "No. 230",
  "lattice_angstrom": [[-9.012, 9.012, 9.012], [9.012, -9.012, 9.012], [9.012, 9.012, -9.012]],
  "species": ["In", "In", "In", "In", "In", "In", "In", "In", "In", "In", "In", "In", "In", "In", "In", "In", "In", "In", "In", "In", "Hg", "Hg", "Hg", "Hg", "Hg", "Hg", "Hg", "Hg", "Hg", "Hg", "Hg", "Hg", "Hg", "Hg", "Hg", "Hg", "Hg", "Hg", "Hg", "Hg", "Hg", "Hg", "Hg", "Hg", "Hg", "Hg", "Hg", "Hg", "Hg", "Hg", "Hg", "Hg", "Hg", "Hg", "Hg", "Hg", "Hg", "Hg", "Hg", "Hg", "Hg", "Hg", "Hg", "Hg", "Hg", "Hg", "Hg", "Hg", "Br", "Br", "Br", "Br", "Br", "Br", "Br", "Br", "Br", "Br", "Br", "Br"],
  "fractional_positions": [[0.000, 0.000, 0.000], [0.000, 0.000, 0.500], [0.000, 0.500, 0.000], [0.000, 0.500, 0.500], [0.125, 0.750, 0.875], [0.125, 0.875, 0.250], [0.250, 0.125, 0.875], [0.250, 0.625, 0.375], [0.375, 0.250, 0.625], [0.375, 0.625, 0.750], [0.500, 0.000, 0.000], [0.500, 0.000, 0.500], [0.500, 0.500, 0.000], [0.500, 0.500, 0.500], [0.625, 0.375, 0.250], [0.625, 0.750, 0.375], [0.750, 0.375, 0.625], [0.750, 0.875, 0.125], [0.875, 0.125, 0.750], [0.875, 0.250, 0.125], [0.039, 0.218, 0.093], [0.039, 0.321, 0.946], [0.054, 0.593, 0.375], [0.054, 0.961, 0.679], [0.093, 0.039, 0.218], [0.093, 0.554, 0.875], [0.125, 0.718, 0.679], [0.125, 0.907, 0.446], [0.179, 0.218, 0.625], [0.179, 0.461, 0.554], [0.218, 0.093, 0.039], [0.218, 0.625, 0.179], [0.282, 0.321, 0.875], [0.282, 0.461, 0.407], [0.321, 0.875, 0.282], [0.321, 0.946, 0.039], [0.375, 0.054, 0.593], [0.375, 0.821, 0.782], [0.407, 0.282, 0.461], [0.407, 0.625, 0.946], [0.446, 0.125, 0.907], [0.446, 0.821, 0.539], [0.461, 0.407, 0.282], [0.461, 0.554, 0.179], [0.539, 0.446, 0.821], [0.539, 0.593, 0.718], [0.554, 0.179, 0.461], [0.554, 0.875, 0.093], [0.593, 0.375, 0.054], [0.593, 0.718, 0.539], [0.625, 0.179, 0.218], [0.625, 0.946, 0.407], [0.679, 0.054, 0.961], [0.679, 0.125, 0.718], [0.718, 0.539, 0.593], [0.718, 0.679, 0.125], [0.782, 0.375, 0.821], [0.782, 0.907, 0.961], [0.821, 0.539, 0.446], [0.821, 0.782, 0.375], [0.875, 0.093, 0.554], [0.875, 0.282, 0.321], [0.907, 0.446, 0.125], [0.907, 0.961, 0.782], [0.946, 0.039, 0.321], [0.946, 0.407, 0.625], [0.961, 0.679, 0.054], [0.961, 0.782, 0.907], [0.125, 0.250, 0.375], [0.125, 0.375, 0.750], [0.250, 0.375, 0.125], [0.250, 0.875, 0.625], [0.375, 0.125, 0.250], [0.375, 0.750, 0.125], [0.625, 0.250, 0.875], [0.625, 0.875, 0.750], [0.750, 0.125, 0.375], [0.750, 0.625, 0.875], [0.875, 0.625, 0.250], [0.875, 0.750, 0.625]]
}

---

# 2
{
  "formula": "In2Hg2Br",
  "functional": "GGA-PBE",
  "state": "relaxed",
  "n_ef_per_ev_cell": 3.1,
  "crystal_system": "tetragonal",
  "spacegroup": "No. 139",
  "lattice_angstrom": [[-2.200, 2.200, 7.846], [2.200, -2.200, 7.846], [2.200, 2.200, -7.846]],
  "species": ["In", "In", "Hg", "Hg", "Br"],
  "fractional_positions": [[0.097, 0.097, 0.000], [0.903, 0.903, 0.000], [0.250, 0.750, 0.500], [0.750, 0.250, 0.500], [0.500, 0.500, 0.000]]
}

---

# 3
{
  "formula": "In3HgBr3",
  "functional": "GGA-PBE",
  "state": "relaxed",
  "crystal_system": "triclinic",
  "spacegroup": "No. 2",
  "lattice_angstrom": [[8.482, 0.000, 0.000], [3.070, 7.912, 0.000], [3.060, 2.111, 7.637]],
  "species": ["In", "In", "In", "In", "In", "In", "Hg", "Hg", "Br", "Br", "Br", "Br", "Br", "Br"],
  "fractional_positions": [[0.059, 0.436, 0.231], [0.269, 0.941, 0.064], [0.436, 0.731, 0.559], [0.564, 0.269, 0.441], [0.731, 0.059, 0.936], [0.941, 0.564, 0.769], [0.335, 0.335, 0.835], [0.665, 0.665, 0.165], [0.111, 0.828, 0.854], [0.172, 0.646, 0.389], [0.354, 0.111, 0.328], [0.646, 0.889, 0.672], [0.828, 0.354, 0.611], [0.889, 0.172, 0.146]]
}

---

# 4
{
  "formula": "InHg2Br6",
  "functional": "GGA-PBE",
  "state": "relaxed",
  "n_ef_per_ev_cell": 4.6,
  "crystal_system": "monoclinic",
  "spacegroup": "No. 15",
  "lattice_angstrom": [[6.898, -6.390, 0.000], [6.898, 6.390, 0.000], [-1.265, 0.000, 7.524]],
  "species": ["In", "In", "Hg", "Hg", "Hg", "Hg", "Br", "Br", "Br", "Br", "Br", "Br", "Br", "Br", "Br", "Br", "Br", "Br"],
  "fractional_positions": [[0.108, 0.892, 0.750], [0.892, 0.108, 0.250], [0.236, 0.398, 0.674], [0.398, 0.236, 0.174], [0.602, 0.764, 0.826], [0.764, 0.602, 0.326], [0.047, 0.181, 0.600], [0.123, 0.623, 0.873], [0.181, 0.047, 0.100], [0.286, 0.472, 0.360], [0.377, 0.877, 0.627], [0.472, 0.286, 0.860], [0.528, 0.714, 0.140], [0.623, 0.123, 0.373], [0.714, 0.528, 0.640], [0.819, 0.953, 0.900], [0.877, 0.377, 0.127], [0.953, 0.819, 0.400]]
}

---

# 5
{
  "formula": "In5HgBr6",
  "functional": "GGA-PBE",
  "state": "relaxed",
  "n_ef_per_ev_cell": 4.8,
  "crystal_system": "monoclinic",
  "spacegroup": "No. 12",
  "lattice_angstrom": [[4.373, -6.223, 0.000], [4.373, 6.223, 0.000], [-1.984, 0.000, 7.700]],
  "species": ["In", "In", "In", "In", "In", "Hg", "Br", "Br", "Br", "Br", "Br", "Br"],
  "fractional_positions": [[0.000, 0.000, 0.000], [0.197, 0.803, 0.500], [0.359, 0.641, 0.000], [0.641, 0.359, 0.000], [0.803, 0.197, 0.500], [0.500, 0.500, 0.500], [0.033, 0.375, 0.204], [0.177, 0.177, 0.727], [0.375, 0.033, 0.204], [0.625, 0.967, 0.796], [0.823, 0.823, 0.273], [0.967, 0.625, 0.796]]
}

---

# 6
{
  "formula": "In4Hg2Br5",
  "functional": "GGA-PBE",
  "state": "relaxed",
  "n_ef_per_ev_cell": 1.2,
  "crystal_system": "triclinic",
  "spacegroup": "No. 2",
  "lattice_angstrom": [[4.376, 0.000, 0.000], [-0.025, 9.906, 0.000], [-2.165, -1.023, 11.151]],
  "species": ["In", "In", "In", "In", "Hg", "Hg", "Br", "Br", "Br", "Br", "Br"],
  "fractional_positions": [[0.004, 0.283, 0.012], [0.333, 0.015, 0.669], [0.667, 0.985, 0.331], [0.996, 0.717, 0.988], [0.451, 0.892, 0.896], [0.549, 0.108, 0.104], [0.117, 0.772, 0.234], [0.234, 0.158, 0.467], [0.500, 0.500, 0.000], [0.766, 0.842, 0.533], [0.883, 0.228, 0.766]]
}

---

no.,E_form (uncorrected) (eV/atom)
1,-0.031
2,-0.154
3,-0.544
4,-0.490
5,-0.573
6,-0.508